A relaxed Hf2BeCo crystal. Source: Alexandria via LeMat-Bulk, functional GGA-PBE.

Properties
Crystal system: tetragonal
Total DFT energy (no corrections): -31.7 eV per cell

Cell: 3.162 3.162 6.172 Å, 90.00 90.00 90.00°
Space group P4/mmm (No. 123)
One atom of each set of equivalent atoms:
Hf  0.000  0.000  0.250
Be  0.500  0.500  0.000
Co  0.500  0.500  0.500